Material: HfPdW2F
Method: DFT, PBE+U
State: relaxed

Unit cell a=4.253 b=4.790 c=4.253 alpha=90.00 beta=90.00 gamma=90.00
Site moments in Bohr magnetons follow the coordinates.
Fractional coordinates of all 5 atoms:
Hf 0.500 0.500 0.500  -0.38
Pd 0.000 0.500 0.000  -0.03
W 0.000 0.000 0.500  1.48
W 0.500 0.000 0.000  1.59
F 0.000 0.000 0.000  0.04

## Properties
V	17.33	Å³/atom
energy	-0.4255	Ry per atom